[1]
A relaxed Ac2Dy5Ho6 crystal, computed with PBE.

Summary:
Its crystal system is orthorhombic. As for the space group: Pbam. The value obtained for the formation energy is 11.6 kJ per mole of atoms.

a b c (Å): 11.8791 20.2814 3.6324
angles (deg): 90.00 90.00 90.00
Closest atoms and distances in Å follow each position.
Fractional coordinates of all 26 atoms:
Ac1 0.1614 0.2220 0.0000  5 Ho 3.57-3.99, 6 Dy 3.59-3.92, 2 Ac 3.63
Ac2 0.3386 0.7220 0.0000  5 Ho 3.57-3.99, 6 Dy 3.59-3.92, 2 Ac 3.63
Ac3 0.6614 0.2780 0.0000  5 Ho 3.57-3.99, 6 Dy 3.59-3.92, 2 Ac 3.63
Ac4 0.8386 0.7780 0.0000  5 Ho 3.57-3.99, 6 Dy 3.59-3.92, 2 Ac 3.63
Dy1 0.0000 0.5000 0.5000  6 Ho 3.23-3.45
Dy2 0.0997 0.7830 0.5000  5 Ho 3.28-3.47, 4 Ac 3.59-3.60, 2 Dy 3.63
Dy3 0.2003 0.0522 0.5000  7 Ho 3.57-3.72, 3 Dy 3.63-3.71, 2 Ac 3.92
Dy4 0.2997 0.5522 0.5000  7 Ho 3.57-3.72, 3 Dy 3.63-3.71, 2 Ac 3.92
Dy5 0.4003 0.2830 0.5000  5 Ho 3.28-3.47, 4 Ac 3.59-3.60, 2 Dy 3.63
Dy6 0.5000 0.0000 0.5000  6 Ho 3.23-3.45
Dy7 0.5997 0.7170 0.5000  5 Ho 3.28-3.47, 4 Ac 3.59-3.60, 2 Dy 3.63
Dy8 0.7003 0.4478 0.5000  7 Ho 3.57-3.72, 3 Dy 3.63-3.71, 2 Ac 3.92
Dy9 0.7997 0.9478 0.5000  7 Ho 3.57-3.72, 3 Dy 3.63-3.71, 2 Ac 3.92
Dy10 0.9003 0.2170 0.5000  5 Ho 3.28-3.47, 4 Ac 3.59-3.60, 2 Dy 3.63
Ho1 0.0596 0.9253 0.0000  5 Ho 3.35-3.67, 6 Dy 3.44-3.61
Ho2 0.0746 0.6378 0.0000  6 Dy 3.45-3.67, 1 Ac 3.57, 4 Ho 3.58-3.63
Ho3 0.1824 0.3821 0.5000  2 Dy 3.23-3.28, 2 Ho 3.58
Ho4 0.3176 0.8821 0.5000  2 Dy 3.23-3.28, 2 Ho 3.58
Ho5 0.4254 0.1378 0.0000  6 Dy 3.45-3.67, 1 Ac 3.57, 4 Ho 3.58-3.63
Ho6 0.4404 0.4253 0.0000  5 Ho 3.35-3.67, 6 Dy 3.44-3.61
Ho7 0.5596 0.5747 0.0000  5 Ho 3.35-3.67, 6 Dy 3.44-3.61
Ho8 0.5746 0.8622 0.0000  6 Dy 3.45-3.67, 1 Ac 3.57, 4 Ho 3.58-3.63
Ho9 0.6824 0.1179 0.5000  2 Dy 3.23-3.28, 2 Ho 3.58
Ho10 0.8176 0.6179 0.5000  2 Dy 3.23-3.28, 2 Ho 3.58
Ho11 0.9254 0.3622 0.0000  6 Dy 3.45-3.67, 1 Ac 3.57, 4 Ho 3.58-3.63
Ho12 0.9404 0.0747 0.0000  5 Ho 3.35-3.67, 6 Dy 3.44-3.61



[2]
A relaxed Rb2SmBe2S4 crystal, computed with PBE.

Summary:
Its uncorrected formation energy is -1037 kJ/mol of formula units. Its crystal system is monoclinic. As for the space group: C2/m.

a b c (Å): 7.6854 7.6854 8.1540
angles (deg): 111.25 111.25 28.12
Closest atoms and distances in Å follow each position.
Fractional coordinates of all 9 atoms:
Rb1 0.1298 0.1298 0.0460  6 S 3.26-3.40
Rb2 0.8702 0.8702 0.9540  6 S 3.26-3.40
Sm1 0.0000 0.0000 0.5000  6 S 2.84-2.87
Be1 0.3275 0.3275 0.5290  4 S 2.07-2.24
Be2 0.6725 0.6725 0.4710  4 S 2.07-2.24
S1 0.2072 0.2072 0.6309  3 Be 2.23-2.24
S2 0.4631 0.4631 0.7301  1 Be 2.07
S3 0.5369 0.5369 0.2699  1 Be 2.07
S4 0.7928 0.7928 0.3691  3 Be 2.23-2.24